Record 1
{
  "formula": "Tb4In5Ag2",
  "functional": "GGA-PBE",
  "state": "relaxed",
  "delta_e_f_ev_per_atom": -0.388,
  "lattice": [[3.5384, 0.0000, 0.0000], [0.0000, 7.7832, -0.6022], [0.0000, 0.0070, 10.1230]],
  "species": ["Tb", "In", "In", "In", "Ag", "Tb", "In", "Tb", "Ag", "Tb", "In"],
  "fractional_positions": [[0.5000, 0.8281, 0.1200], [0.0000, 0.5000, 0.0000], [0.0000, 0.5581, 0.3047], [0.0000, 0.1844, 0.1614], [0.0000, 0.9356, 0.3654], [0.5000, 0.7380, 0.5585], [0.0000, 0.8156, 0.8386], [0.5000, 0.1719, 0.8800], [0.0000, 0.0644, 0.6346], [0.5000, 0.2620, 0.4415], [0.0000, 0.4419, 0.6953]]
}

---

Record 2
{
  "formula": "TiBe2Pd2",
  "functional": "GGA-PBE",
  "state": "relaxed",
  "delta_e_f_ev_per_atom": -0.293,
  "polymorph_energy_ev_per_fu": 0.89,
  "lattice": [[3.2855, 0.0000, 0.0000], [0.0000, 3.2855, 0.0000], [1.6427, 1.6427, 6.2176]],
  "species": ["Be", "Pd", "Be", "Pd", "Ti"],
  "fractional_positions": [[0.2500, 0.7500, 0.5000], [0.6111, 0.6111, 0.7778], [0.7500, 0.2500, 0.5000], [0.3889, 0.3889, 0.2222], [0.0000, 0.0000, 0.0000]]
}

---

Record 3
{
  "formula": "VSb",
  "functional": "GGA-PBE",
  "state": "relaxed",
  "formation_energy_uncorrected_ev_per_fu": 0.8,
  "lattice": [[-3.2342, 1.4035, 3.0880], [3.0689, -3.3413, 1.1762], [3.4088, 3.7825, 1.8510]],
  "species": ["Sb", "V", "V", "Sb"],
  "fractional_positions": [[0.6667, 0.3333, 0.2500], [0.6667, 0.3333, 0.7500], [0.3333, 0.6667, 0.2500], [0.3333, 0.6667, 0.7500]]
}

---

Record 4
{
  "formula": "Li4AcTl2In",
  "functional": "GGA-PBE",
  "state": "relaxed",
  "delta_e_f_ev_per_atom": -0.221,
  "lattice": [[-3.5717, -3.1864, 0.2937], [0.4115, -3.8031, 2.8918], [-4.8951, 2.6277, 8.1283]],
  "species": ["Tl", "Li", "Li", "In", "Ac", "Li", "Tl", "Li"],
  "fractional_positions": [[0.7498, 0.7498, 0.7505], [0.4064, 0.4064, 0.7807], [0.5936, 0.5936, 0.2193], [0.5000, 0.5000, 0.5000], [0.0000, 0.0000, 0.0000], [0.1331, 0.1331, 0.6007], [0.2502, 0.2502, 0.2495], [0.8669, 0.8669, 0.3993]]
}

---

Record 5
{
  "formula": "Be2InNi",
  "functional": "GGA-PBE",
  "state": "relaxed",
  "delta_e_f_ev_per_atom": 0.138,
  "polymorph_energy_ev_per_fu": 0.35,
  "lattice": [[-0.5243, 1.7217, 3.2359], [-0.2631, -3.2781, 1.7015], [3.5226, 0.0106, 0.5651]],
  "species": ["Ni", "Be", "Be", "In"],
  "fractional_positions": [[0.0000, 0.5000, 0.5000], [0.0000, 0.0000, 0.0000], [0.5000, 0.5000, 0.0000], [0.5000, 0.0000, 0.5000]]
}

---

Record 6
{
  "formula": "LiMg2P",
  "functional": "GGA-PBE",
  "state": "relaxed",
  "delta_e_f_ev_per_atom": -0.309,
  "lattice": [[3.8460, 0.0000, 0.0000], [0.0000, 3.8128, 0.0728], [0.0000, 2.0040, 4.9543]],
  "species": ["Mg", "P", "Li", "Mg"],
  "fractional_positions": [[0.5000, 0.2759, 0.3451], [0.0000, 0.7035, 0.4767], [0.5000, 0.5544, 0.7562], [0.0000, 0.9662, 0.9220]]
}

---

Record 7
{
  "formula": "Sm3ScTl",
  "functional": "GGA-PBE",
  "state": "relaxed",
  "delta_e_f_ev_per_atom": 0.098,
  "polymorph_energy_ev_per_fu": 1.05,
  "lattice": [[8.1713, -0.2627, -0.1965], [0.2573, 8.7419, -1.1491], [0.2573, 1.3674, 8.7104]],
  "species": ["Sm", "Tl", "Sm", "Tl", "Sm", "Sm", "Sm", "Sm", "Sm", "Sm", "Sm", "Sm", "Tl", "Sc", "Sc", "Sc", "Tl", "Sc", "Sm", "Sm"],
  "fractional_positions": [[0.1795, 0.0677, 0.4325], [0.4345, 0.8711, 0.6260], [0.6204, 0.5541, 0.6614], [0.9345, 0.6260, 0.8711], [0.6208, 0.8383, 0.9443], [0.1204, 0.6614, 0.5541], [0.3792, 0.1617, 0.0557], [0.8205, 0.9323, 0.5675], [0.1208, 0.9443, 0.8383], [0.3205, 0.5675, 0.9323], [0.8792, 0.0557, 0.1617], [0.8796, 0.3386, 0.4459], [0.5655, 0.1289, 0.3740], [0.2500, 0.8040, 0.1960], [0.7500, 0.6965, 0.3035], [0.2500, 0.3035, 0.6965], [0.0655, 0.3740, 0.1289], [0.7500, 0.1960, 0.8040], [0.6795, 0.4325, 0.0677], [0.3796, 0.4459, 0.3386]]
}

---

Record 8
{
  "formula": "Li4Br2N",
  "functional": "GGA-PBE",
  "state": "relaxed",
  "formation_energy_uncorrected_ev_per_fu": -5.7,
  "polymorph_energy_ev_per_fu": 0.05,
  "lattice": [[-1.3742, -0.3602, 3.3200], [5.9714, 0.0769, 2.4799], [-2.6628, 5.2819, -2.4930]],
  "species": ["Li", "Li", "Li", "Br", "Br", "Li", "N"],
  "fractional_positions": [[0.8940, 0.1475, 0.7880], [0.4031, 0.7963, 0.8063], [0.5969, 0.2037, 0.1937], [0.3148, 0.3162, 0.6296], [0.6852, 0.6838, 0.3704], [0.1060, 0.8525, 0.2120], [0.0000, 0.0000, 0.0000]]
}